No. 1
The following is a DFT calculation (GGA-PBE) of a relaxed Ba2CaIn12Rh3 crystal.

Its spin magnetization is 0.000 μB/atom. Its formation energy from the elements is -98.5 meV per atom.

The space group is R-3m (No. 166, hexagonal axes) and the conventional cell measures 9.9624, 9.9624 and 20.4135 Å, with angles of 90.00, 90.00 and 120.00 degrees. Symmetry generates all atoms from Ba at (0.0000, 0.0000, 0.0917), Ca at (0.0000, 0.0000, 0.5000), In at (0.0332, 0.5166, 0.8721), In at (0.0937, 0.5468, 0.3213) and Rh at (0.0000, 0.5000, 0.0000).


No. 2
The following is a DFT calculation (GGA-PBE) of a relaxed Ca3Tb crystal.

Its spin magnetization is 0.000 μB/atom. Its formation energy from the elements is 123.4 meV per atom. The energy relative to the lowest polymorph listed for this composition is 0.04 eV/f.u.

The space group is Fm-3m (No. 225) and the conventional cell measures 8.470, 8.470 and 8.470 Å, with angles of 90.00, 90.00 and 90.00 degrees. Symmetry generates all atoms from Ca at (0.000, 0.000, 0.000), Ca at (0.250, 0.250, 0.250) and Tb at (0.000, 0.000, 0.500).


No. 3
The following is a DFT calculation (GGA-PBE) of a relaxed ErPa2Ni6 crystal.

Its spin magnetization is 0.000 μB/atom. Its formation energy from the elements is -351.3 meV per atom.

The space group is P6/mmm (No. 191) and the conventional cell measures 7.1598, 7.1598 and 3.3593 Å, with angles of 90.00, 90.00 and 120.00 degrees. Symmetry generates all atoms from Er at (0.0000, 0.0000, 0.0000), Pa at (0.3333, 0.6667, 0.0000) and Ni at (0.0000, 0.3362, 0.5000).


Copy entry 2 word for word.
The following is a DFT calculation (GGA-PBE) of a relaxed Ca3Tb crystal.

Its spin magnetization is 0.000 μB/atom. Its formation energy from the elements is 123.4 meV per atom. The energy relative to the lowest polymorph listed for this composition is 0.04 eV/f.u.

The space group is Fm-3m (No. 225) and the conventional cell measures 8.470, 8.470 and 8.470 Å, with angles of 90.00, 90.00 and 90.00 degrees. Symmetry generates all atoms from Ca at (0.000, 0.000, 0.000), Ca at (0.250, 0.250, 0.250) and Tb at (0.000, 0.000, 0.500).